Entry 1:
A relaxed structure of VGaOs, computed with PBE-GGA.

```
3
Lattice="4.227 0.000 0.000 -2.113 3.660 0.000 0.000 0.000 2.758" Properties=species:S:1:pos:R:3 pbc="T T T"
V 0.000 0.000 0.000
Ga 0.000 2.440 1.634
Os 2.113 1.220 0.872
```

Size of the total moment: 0.00 μB per formula unit
Space group: P3m1 (156)
Energy relative to the elements: -0.240 eV/f.u.
Calculated volume: 14.22 Å³/atom
E_tot: -23.615 eV for the cell shown

***

Entry 2:
A relaxed structure of Zr2V2GaOs5, computed with PBE-GGA.

```
20
Lattice="10.000 0.000 0.000 0.000 10.000 0.000 0.000 0.000 3.212" Properties=species:S:1:pos:R:3 pbc="T T T"
Zr 1.741 3.258 0.000
Zr 3.258 8.258 0.000
Zr 6.741 1.741 0.000
Zr 8.258 6.741 0.000
V 1.317 6.317 0.000
V 3.683 1.317 0.000
V 6.317 8.683 0.000
V 8.683 3.683 0.000
Ga 0.000 0.000 0.000
Ga 5.000 5.000 0.000
Os 0.000 5.000 1.606
Os 0.570 8.003 1.606
Os 1.996 0.570 1.606
Os 3.004 5.570 1.606
Os 4.430 3.004 1.606
Os 5.000 0.000 1.606
Os 5.570 6.996 1.606
Os 6.996 4.430 1.606
Os 8.003 9.430 1.606
Os 9.430 1.996 1.606
```

Size of the total moment: 0.00 μB per formula unit
Space group: P4/mbm (127)
Energy relative to the elements: -0.918 eV/f.u.
Calculated volume: 16.06 Å³/atom
E_tot: -190.854 eV for the cell shown

***

Entry 3:
A relaxed structure of Ga3OsW, computed with PBE-GGA.

```
5
Lattice="4.762 0.000 0.000 0.000 4.762 0.000 0.000 0.000 4.762" Properties=species:S:1:pos:R:3 pbc="T T T"
Ga 0.000 0.000 2.381
Ga 0.000 2.381 0.000
Ga 2.381 0.000 0.000
Os 0.000 0.000 0.000
W 2.381 2.381 2.381
```

Size of the total moment: 4.76 μB per formula unit
Space group: Pm-3m (221)
Energy relative to the elements: 5.652 eV/f.u.
Calculated volume: 21.59 Å³/atom
E_tot: -27.611 eV for the cell shown
Energy above the most stable polymorph in this dataset: 0 meV/atom

***

Q: What is the formula in the third record?
A: Ga3OsW